# 1
HoCo2Si3 (PBE-GGA, optimized geometry); V = 14.2 Å³ per atom; SG = C2/m; total magnetization = 0.00 μB per formula unit; calculated density = 7166 kg/m3; E_tot = -6.54 eV/atom; ΔE_f (raw) = -66.8 kJ per mole of atoms
1.0
7.624 -1.884 0.000
7.624 1.884 0.000
-2.214 0.000 8.884
Ho Co Si
3 6 9
Direct
0.000 0.000 0.000
0.150 0.150 0.699
0.850 0.850 0.301
0.209 0.209 0.086
0.355 0.355 0.561
0.496 0.496 0.239
0.504 0.504 0.761
0.645 0.645 0.439
0.791 0.791 0.914
0.052 0.052 0.359
0.224 0.224 0.376
0.357 0.357 0.069
0.359 0.359 0.811
0.500 0.500 0.500
0.641 0.641 0.189
0.643 0.643 0.931
0.776 0.776 0.624
0.948 0.948 0.641


# 2
Ho2CoSi5 (PBE-GGA, optimized geometry); V = 17.6 Å³ per atom; SG = I4mm; total magnetization = 0.00 μB per formula unit; calculated density = 6224 kg/m3; E_tot = -5.87 eV/atom; ΔE_f (raw) = -43.3 kJ per mole of atoms
1.0
-2.841 2.841 4.374
2.841 -2.841 4.374
2.841 2.841 -4.374
Ho Co Si
2 1 5
Direct
0.000 0.500 0.500
0.500 0.000 0.500
0.304 0.304 0.000
0.542 0.542 0.564
0.542 0.978 0.000
0.558 0.558 0.000
0.978 0.542 0.000
0.978 0.978 0.436


# 3
HoCo6Si4 (PBE-GGA, optimized geometry); V = 12.3 Å³ per atom; SG = P-6m2; total magnetization = 0.00 μB per formula unit; calculated density = 7732 kg/m3; E_tot = -6.91 eV/atom; ΔE_f (raw) = -62.6 kJ per mole of atoms
1.0
6.591 0.000 0.000
-3.295 5.708 0.000
0.000 0.000 3.601
Ho Co Si
1 6 4
Direct
0.000 0.000 0.000
0.205 0.409 0.500
0.205 0.795 0.500
0.534 0.068 0.000
0.534 0.466 0.000
0.591 0.795 0.500
0.932 0.466 0.000
0.333 0.667 0.000
0.398 0.199 0.500
0.801 0.199 0.500
0.801 0.602 0.500


# 4
Ho2Co12Si7 (PBE-GGA, optimized geometry); V = 12.5 Å³ per atom; SG = P-6; total magnetization = 0.47 μB per formula unit; calculated density = 7813 kg/m3; E_tot = -6.91 eV/atom; ΔE_f (raw) = -58.0 kJ per mole of atoms
1.0
9.115 0.000 0.000
-4.558 7.894 0.000
0.000 0.000 3.644
Ho Co Si
2 12 7
Direct
0.000 0.000 0.000
0.333 0.667 0.500
0.046 0.765 0.500
0.104 0.390 0.000
0.235 0.281 0.500
0.285 0.896 0.000
0.389 0.205 0.000
0.547 0.111 0.500
0.563 0.453 0.500
0.610 0.715 0.000
0.719 0.954 0.500
0.795 0.184 0.000
0.816 0.611 0.000
0.889 0.437 0.500
0.063 0.618 0.000
0.267 0.040 0.500
0.382 0.445 0.000
0.555 0.937 0.000
0.667 0.333 0.000
0.773 0.733 0.500
0.960 0.227 0.500


# 5
Ho6Co2Si (PBE-GGA, optimized geometry); V = 23.5 Å³ per atom; SG = Immm; total magnetization = 0.00 μB per formula unit; calculated density = 8932 kg/m3; E_tot = -5.55 eV/atom; ΔE_f (raw) = -30.3 kJ per mole of atoms
1.0
-4.606 4.704 4.872
4.606 -4.704 4.872
4.606 4.704 -4.872
Ho Co Si
12 4 2
Direct
0.045 0.239 0.805
0.179 0.278 0.457
0.179 0.722 0.902
0.327 0.014 0.687
0.327 0.640 0.313
0.434 0.239 0.195
0.566 0.761 0.805
0.673 0.360 0.687
0.673 0.986 0.313
0.821 0.278 0.098
0.821 0.722 0.543
0.955 0.761 0.195
0.115 0.615 0.500
0.337 0.000 0.337
0.663 0.000 0.663
0.885 0.385 0.500
0.000 0.000 0.000
0.500 0.500 0.000


# 6
HoCo9Si3 (PBE-GGA, optimized geometry); V = 11.9 Å³ per atom; SG = C2/m; total magnetization = 8.07 μB per formula unit; calculated density = 8350 kg/m3; E_tot = -6.87 eV/atom; ΔE_f (raw) = -33.0 kJ per mole of atoms
1.0
2.360 -5.774 0.000
2.360 5.774 0.000
-2.260 0.000 5.688
Ho Co Si
1 9 3
Direct
0.000 0.000 0.000
0.000 0.000 0.500
0.004 0.649 0.649
0.276 0.504 0.775
0.351 0.996 0.351
0.496 0.724 0.225
0.504 0.276 0.775
0.649 0.004 0.649
0.724 0.496 0.225
0.996 0.351 0.351
0.000 0.500 0.000
0.500 0.000 0.000
0.500 0.500 0.500


# 7
Ho5Co2Si (PBE-GGA, optimized geometry); V = 22.4 Å³ per atom; SG = I4/mcm; total magnetization = 0.00 μB per formula unit; calculated density = 8998 kg/m3; E_tot = -5.65 eV/atom; ΔE_f (raw) = -32.5 kJ per mole of atoms
1.0
-3.686 3.686 6.592
3.686 -3.686 6.592
3.686 3.686 -6.592
Ho Co Si
10 4 2
Direct
0.000 0.000 0.000
0.027 0.527 0.836
0.191 0.027 0.500
0.309 0.809 0.836
0.473 0.309 0.500
0.500 0.500 0.000
0.527 0.691 0.500
0.691 0.191 0.164
0.809 0.973 0.500
0.973 0.473 0.164
0.118 0.382 0.500
0.382 0.882 0.264
0.618 0.118 0.736
0.882 0.618 0.500
0.250 0.250 0.000
0.750 0.750 0.000


# 8
HoCoSi (PBE-GGA, optimized geometry); V = 16.4 Å³ per atom; SG = Pnma; total magnetization = 0.00 μB per formula unit; calculated density = 8484 kg/m3; E_tot = -6.44 eV/atom; ΔE_f (raw) = -71.3 kJ per mole of atoms
1.0
6.864 0.000 0.000
0.000 4.172 0.000
0.000 0.000 6.887
Ho Co Si
4 4 4
Direct
0.018 0.250 0.188
0.482 0.750 0.688
0.518 0.250 0.312
0.982 0.750 0.812
0.146 0.750 0.434
0.354 0.250 0.934
0.646 0.750 0.066
0.854 0.250 0.566
0.195 0.250 0.606
0.305 0.750 0.106
0.695 0.250 0.894
0.805 0.750 0.394


# 9
Ho2CoSi3 (PBE-GGA, optimized geometry); V = 18.2 Å³ per atom; SG = C2/m; total magnetization = 0.00 μB per formula unit; calculated density = 7174 kg/m3; E_tot = -6.19 eV/atom; ΔE_f (raw) = -74.3 kJ per mole of atoms
1.0
3.991 -3.985 0.000
3.991 3.985 0.000
-3.986 0.000 6.885
Ho Co Si
4 2 6
Direct
0.249 0.249 0.500
0.250 0.750 0.000
0.750 0.250 0.000
0.751 0.751 0.500
0.166 0.166 0.832
0.834 0.834 0.168
0.156 0.672 0.328
0.328 0.328 0.156
0.328 0.844 0.672
0.672 0.156 0.328
0.672 0.672 0.844
0.844 0.328 0.672


# 10
HoCo3Si3 (PBE-GGA, optimized geometry); V = 16.7 Å³ per atom; SG = Pm-3n; total magnetization = 0.00 μB per formula unit; calculated density = 6058 kg/m3; E_tot = -6.18 eV/atom; ΔE_f (raw) = -15.1 kJ per mole of atoms
1.0
6.158 0.000 0.000
0.000 6.158 0.000
0.000 0.000 6.158
Ho Co Si
2 6 6
Direct
0.000 0.000 0.000
0.500 0.500 0.500
0.000 0.250 0.500
0.000 0.750 0.500
0.250 0.500 0.000
0.500 0.000 0.250
0.500 0.000 0.750
0.750 0.500 0.000
0.000 0.500 0.250
0.000 0.500 0.750
0.250 0.000 0.500
0.500 0.250 0.000
0.500 0.750 0.000
0.750 0.000 0.500


# 11
Ho2Co3Si5 (PBE-GGA, optimized geometry); V = 14.7 Å³ per atom; SG = Ibam; total magnetization = 0.27 μB per formula unit; calculated density = 7286 kg/m3; E_tot = -6.53 eV/atom; ΔE_f (raw) = -74.6 kJ per mole of atoms
1.0
-4.750 5.634 2.755
4.750 -5.634 2.755
4.750 5.634 -2.755
Ho Co Si
4 6 10
Direct
0.135 0.233 0.368
0.365 0.733 0.098
0.635 0.267 0.902
0.865 0.767 0.632
0.139 0.893 0.031
0.250 0.750 0.500
0.361 0.393 0.754
0.639 0.607 0.246
0.750 0.250 0.500
0.861 0.107 0.969
0.025 0.750 0.275
0.100 0.660 0.760
0.250 0.250 0.000
0.400 0.160 0.560
0.475 0.750 0.725
0.525 0.250 0.275
0.600 0.840 0.440
0.750 0.750 0.000
0.900 0.340 0.240
0.975 0.250 0.725


# 12
Ho5Co4Si14 (PBE-GGA, optimized geometry); V = 16.1 Å³ per atom; SG = P2_1/c; total magnetization = 0.00 μB per formula unit; calculated density = 6524 kg/m3; E_tot = -6.19 eV/atom; ΔE_f (raw) = -63.7 kJ per mole of atoms
1.0
12.373 0.000 0.000
0.000 7.819 0.000
-1.182 0.000 7.648
Ho Co Si
10 8 28
Direct
0.000 0.000 0.000
0.000 0.500 0.500
0.364 0.248 0.342
0.364 0.252 0.842
0.364 0.749 0.339
0.364 0.751 0.839
0.636 0.249 0.161
0.636 0.251 0.661
0.636 0.748 0.158
0.636 0.752 0.658
0.000 0.127 0.628
0.000 0.373 0.128
0.000 0.627 0.872
0.000 0.873 0.372
0.248 0.000 0.060
0.248 0.500 0.560
0.752 0.000 0.940
0.752 0.500 0.440
0.000 0.166 0.334
0.000 0.334 0.834
0.000 0.666 0.166
0.000 0.834 0.666
0.176 0.226 0.550
0.176 0.274 0.050
0.176 0.726 0.038
0.176 0.774 0.538
0.177 0.006 0.768
0.177 0.494 0.268
0.177 0.506 0.818
0.177 0.994 0.318
0.439 0.000 0.109
0.439 0.500 0.609
0.442 0.000 0.612
0.442 0.500 0.112
0.558 0.000 0.388
0.558 0.500 0.888
0.561 0.000 0.891
0.561 0.500 0.391
0.823 0.006 0.682
0.823 0.494 0.182
0.823 0.506 0.732
0.823 0.994 0.232
0.824 0.226 0.462
0.824 0.274 0.962
0.824 0.726 0.950
0.824 0.774 0.450


# 13
HoCo5Si2 (PBE-GGA, optimized geometry); V = 13.1 Å³ per atom; SG = Immm; total magnetization = 2.73 μB per formula unit; calculated density = 8179 kg/m3; E_tot = -6.80 eV/atom; ΔE_f (raw) = -41.5 kJ per mole of atoms
1.0
-1.786 3.243 4.519
1.786 -3.243 4.519
1.786 3.243 -4.519
Ho Co Si
1 5 2
Direct
0.000 0.000 0.000
0.170 0.358 0.811
0.453 0.642 0.811
0.500 0.000 0.500
0.547 0.358 0.189
0.830 0.642 0.189
0.255 0.755 0.500
0.745 0.245 0.500


# 14
HoCoSi (PBE-GGA, optimized geometry); V = 18.8 Å³ per atom; SG = Fddd; total magnetization = 0.56 μB per formula unit; calculated density = 7430 kg/m3; E_tot = -5.88 eV/atom; ΔE_f (raw) = -16.9 kJ per mole of atoms
1.0
0.000 5.664 6.532
3.044 0.000 6.532
3.044 5.664 0.000
Ho Co Si
4 4 4
Direct
0.059 0.059 0.691
0.309 0.309 0.941
0.691 0.691 0.059
0.941 0.941 0.309
0.000 0.500 0.500
0.500 0.000 0.500
0.500 0.500 0.000
0.500 0.500 0.500
0.168 0.582 0.582
0.418 0.832 0.832
0.582 0.168 0.168
0.832 0.418 0.418


# 15
Ho3Co2Si2 (PBE-GGA, optimized geometry); V = 18.6 Å³ per atom; SG = Pbcm; total magnetization = 0.00 μB per formula unit; calculated density = 8513 kg/m3; E_tot = -6.20 eV/atom; ΔE_f (raw) = -63.3 kJ per mole of atoms
1.0
5.494 0.000 0.000
0.000 7.592 0.000
0.000 0.000 12.511
Ho Co Si
12 8 8
Direct
0.130 0.249 0.250
0.130 0.251 0.750
0.360 0.606 0.101
0.360 0.606 0.399
0.360 0.894 0.601
0.360 0.894 0.899
0.640 0.106 0.101
0.640 0.106 0.399
0.640 0.394 0.601
0.640 0.394 0.899
0.870 0.749 0.250
0.870 0.751 0.750
0.133 0.528 0.587
0.133 0.528 0.913
0.133 0.972 0.087
0.133 0.972 0.413
0.867 0.028 0.587
0.867 0.028 0.913
0.867 0.472 0.087
0.867 0.472 0.413
0.112 0.250 0.000
0.112 0.250 0.500
0.347 0.599 0.750
0.347 0.901 0.250
0.653 0.099 0.750
0.653 0.401 0.250
0.888 0.750 0.000
0.888 0.750 0.500


# 16
HoCo3Si3 (PBE-GGA, optimized geometry); V = 15.6 Å³ per atom; SG = R-3; total magnetization = 0.00 μB per formula unit; calculated density = 6494 kg/m3; E_tot = -6.37 eV/atom; ΔE_f (raw) = -33.0 kJ per mole of atoms
1.0
3.093 1.786 6.575
-3.093 1.786 6.575
0.000 -3.571 6.575
Ho Co Si
2 6 6
Direct
0.169 0.169 0.169
0.831 0.831 0.831
0.035 0.581 0.257
0.257 0.035 0.581
0.419 0.743 0.965
0.581 0.257 0.035
0.743 0.965 0.419
0.965 0.419 0.743
0.162 0.681 0.377
0.319 0.623 0.838
0.377 0.162 0.681
0.623 0.838 0.319
0.681 0.377 0.162
0.838 0.319 0.623


# 17
Ho3Co2Si3 (PBE-GGA, optimized geometry); V = 17.9 Å³ per atom; SG = Cmcm; total magnetization = 0.56 μB per formula unit; calculated density = 8069 kg/m3; E_tot = -6.28 eV/atom; ΔE_f (raw) = -73.1 kJ per mole of atoms
1.0
2.043 -5.185 0.000
2.043 5.185 0.000
0.000 0.000 13.542
Ho Co Si
6 4 6
Direct
0.081 0.919 0.612
0.081 0.919 0.888
0.362 0.638 0.750
0.638 0.362 0.250
0.919 0.081 0.112
0.919 0.081 0.388
0.214 0.786 0.081
0.214 0.786 0.419
0.786 0.214 0.581
0.786 0.214 0.919
0.331 0.669 0.250
0.380 0.620 0.540
0.380 0.620 0.960
0.620 0.380 0.040
0.620 0.380 0.460
0.669 0.331 0.750